BPRh2 GGA-PBE relaxed; distance to the lowest polymorph of the same formula = 321 meV/atom; SG = Fm-3m; formation energy = 0.10 eV per atom
1.0
-4.0304 -0.2851 -0.2180
-2.3165 3.0676 1.2633
-2.0437 2.2315 -2.6863
Rh P B
2 1 1
direct
0.2500 0.2500 0.2500
0.7500 0.7500 0.7500
0.5000 0.5000 0.5000
0.0000 0.0000 0.0000